Li2Mn3FeO8 after structural relaxation, computed with PBE with a Hubbard U.

a b c (Å): 5.954 5.954 9.462
angles (deg): 90.00 90.00 121.55
Positions (direct):
Li 0.005 0.995 0.500
Li 0.334 0.666 0.390
Li 0.666 0.334 0.890
Li 0.995 0.005 0.000
Mn 0.169 0.339 0.714
Mn 0.170 0.830 0.720
Mn 0.339 0.169 0.214
Mn 0.661 0.831 0.714
Mn 0.830 0.170 0.220
Mn 0.831 0.661 0.214
Fe 0.337 0.663 0.995
Fe 0.663 0.337 0.495
O 0.015 0.985 0.314
O 0.040 0.511 0.836
O 0.161 0.839 0.099
O 0.166 0.325 0.107
O 0.325 0.166 0.607
O 0.348 0.652 0.601
O 0.480 0.520 0.835
O 0.489 0.960 0.836
O 0.511 0.040 0.336
O 0.520 0.480 0.335
O 0.652 0.348 0.101
O 0.675 0.834 0.107
O 0.834 0.675 0.607
O 0.839 0.161 0.599
O 0.960 0.489 0.336
O 0.985 0.015 0.814

Summary:
**Calculated total energy**: -188.2 eV for the cell shown
**Offset from the most stable computed form**: 27 meV per atom
**Crystal system**: orthorhombic